<1>
# Ni3GeAu

A relaxed Ni3GeAu crystal (PBE-GGA, Alexandria via LeMat-Bulk).

Values from the calculation:
- space group = Pm-3m

abc: 4.3145 4.3145 4.3145
angles: 90.00 90.00 90.00
Atoms (fractional coordinates):
Ge1 0.0000 0.0000 0.0000
Ni1 0.0000 0.0000 0.5000
Ni2 0.5000 0.0000 0.0000
Ni3 0.0000 0.5000 0.0000
Au1 0.5000 0.5000 0.5000

***

<2>
# Ni3GeAu

A relaxed Ni3GeAu crystal (PBE-GGA, Alexandria via LeMat-Bulk).

Values from the calculation:
- space group = Pm-3m

abc: 4.6628 4.6628 4.6628
angles: 90.00 90.00 90.00
Each line ends with the local moment (μB).
Atoms (fractional coordinates):
Ni1 0.0000 0.0000 0.5000  0.55
Ni2 0.5000 0.0000 0.0000  0.52
Ni3 0.0000 0.5000 0.0000  0.75
Ge1 0.5000 0.5000 0.5000  -0.01
Au1 0.0000 0.0000 0.0000  0.07

***

In order of decreasing stability: <1>, <2>.

***

<1>
# Ni2GeAu2

A relaxed Ni2GeAu2 crystal (PBE-GGA, Alexandria via LeMat-Bulk).

Values from the calculation:
- space group = P4/mbm

abc: 6.0835 6.0835 4.1035
angles: 90.00 90.00 90.00
Atoms (fractional coordinates):
Ge1 0.0000 0.0000 0.0000
Ge2 0.5000 0.5000 0.0000
Ni1 0.8601 0.6399 0.0000
Ni2 0.6399 0.1399 0.0000
Ni3 0.3601 0.8601 0.0000
Ni4 0.1399 0.3601 0.0000
Au1 0.8354 0.3354 0.5000
Au2 0.3354 0.1646 0.5000
Au3 0.6646 0.8354 0.5000
Au4 0.1646 0.6646 0.5000

***

<2>
# Ni2GeAu2

A relaxed Ni2GeAu2 crystal (PBE-GGA, Alexandria via LeMat-Bulk).

Values from the calculation:
- space group = P4/mbm

abc: 7.4834 7.4834 2.8524
angles: 90.00 90.00 90.00
Each line ends with the local moment (μB).
Atoms (fractional coordinates):
Ni1 0.6203 0.8797 0.5000  0.24
Ni2 0.3797 0.1203 0.5000  0.24
Ni3 0.8797 0.3797 0.5000  0.24
Ni4 0.1203 0.6203 0.5000  0.24
Au1 0.3266 0.8266 0.0000  0.01
Au2 0.1734 0.3266 0.0000  0.01
Au3 0.8266 0.6734 0.0000  0.01
Au4 0.6734 0.1734 0.0000  0.01
Ge1 0.0000 0.0000 0.0000  0.01
Ge2 0.5000 0.5000 0.0000  0.01

***

In order of decreasing stability: <1>, <2>.

***

<1>
# Ni2Ge2Au

A relaxed Ni2Ge2Au crystal (PBE-GGA, Alexandria via LeMat-Bulk).

Values from the calculation:
- space group = I4/mmm

abc: 3.8612 3.8612 5.8599
angles: 70.76 70.76 90.00
Atoms (fractional coordinates):
Ge1 0.3835 0.3835 0.2330
Ge2 0.6165 0.6165 0.7670
Au1 0.0000 0.0000 0.0000
Ni1 0.7500 0.2500 0.5000
Ni2 0.2500 0.7500 0.5000

***

<2>
# Ni2Ge2Au

A relaxed Ni2Ge2Au crystal (PBE-GGA, Alexandria via LeMat-Bulk).

Values from the calculation:
- space group = P4/mbm

abc: 6.9228 6.9228 3.0036
angles: 90.00 90.00 90.00
Atoms (fractional coordinates):
Au1 0.0000 0.0000 0.0000
Au2 0.5000 0.5000 0.0000
Ni1 0.8662 0.6338 0.0000
Ni2 0.6338 0.1338 0.0000
Ni3 0.1338 0.3662 0.0000
Ni4 0.3662 0.8662 0.0000
Ge1 0.1611 0.6611 0.5000
Ge2 0.6611 0.8389 0.5000
Ge3 0.8389 0.3389 0.5000
Ge4 0.3389 0.1611 0.5000

***

In order of decreasing stability: <2>, <1>.

***

<1>
# NpGe2Au3

A relaxed NpGe2Au3 crystal (PBE-GGA, Alexandria via LeMat-Bulk).

Values from the calculation:
- space group = C2/m

abc: 4.4708 8.6331 7.2689
angles: 116.55 90.00 105.01
Each line ends with the local moment (μB).
Atoms (fractional coordinates):
Au1 0.6343 0.2686 0.7540  -0.01
Au2 0.3657 0.7314 0.2460  -0.01
Au3 0.9389 0.8779 0.5919  -0.01
Au4 0.0611 0.1221 0.4081  -0.01
Au5 0.6870 0.3739 0.4254  -0.01
Au6 0.3130 0.6261 0.5746  -0.01
Ge1 0.4912 0.9825 0.8152  -0.03
Ge2 0.7792 0.5585 0.2267  -0.02
Ge3 0.5088 0.0175 0.1848  -0.03
Ge4 0.2208 0.4415 0.7733  -0.02
Np1 0.1317 0.2635 0.0663  3.88
Np2 0.8683 0.7365 0.9337  3.88

***

<2>
# NpGe2Au3

A relaxed NpGe2Au3 crystal (PBE-GGA, Alexandria via LeMat-Bulk).

Values from the calculation:
- space group = C2/m

abc: 4.4762 8.7840 10.0151
angles: 103.31 90.00 104.76
Each line ends with the local moment (μB).
Atoms (fractional coordinates):
Au1 0.1874 0.3747 0.3700  -0.01
Au2 0.9914 0.9829 0.6641  -0.01
Au3 0.8126 0.6253 0.6300  -0.01
Au4 0.3748 0.7497 0.8100  -0.01
Au5 0.0086 0.0171 0.3359  -0.01
Au6 0.6252 0.2503 0.1900  -0.01
Au7 0.6682 0.3364 0.9285  -0.02
Au8 0.3318 0.6636 0.0715  -0.02
Au9 0.5000 0.0000 0.5000  -0.01
Np1 0.1747 0.3495 0.7081  3.97
Np2 0.8253 0.6505 0.2919  3.97
Np3 0.0000 0.0000 0.0000  3.94
Ge1 0.1870 0.3740 0.0982  -0.02
Ge2 0.6581 0.3162 0.4847  -0.01
Ge3 0.8130 0.6260 0.9018  -0.02
Ge4 0.4753 0.9506 0.2122  -0.03
Ge5 0.5247 0.0494 0.7878  -0.03
Ge6 0.3419 0.6838 0.5153  -0.01

***

In order of decreasing stability: <1>, <2>.

***

<1>
# GeAuO

A relaxed GeAuO crystal (PBE-GGA, Alexandria via LeMat-Bulk).

Values from the calculation:
- space group = C2/m

abc: 3.0772 5.6296 6.8769
angles: 92.16 77.10 74.16
Atoms (fractional coordinates):
Ge1 0.6367 0.0260 0.7012
Ge2 0.3633 0.9740 0.2988
Au1 0.3129 0.3111 0.0629
Au2 0.6871 0.6889 0.9371
O1 0.1248 0.1672 0.5836
O2 0.8752 0.8328 0.4164

***

<2>
# GeAuO

A relaxed GeAuO crystal (PBE-GGA, Alexandria via LeMat-Bulk).

Values from the calculation:
- space group = C2/m

abc: 3.0422 5.6557 6.8387
angles: 99.04 102.85 90.00
Atoms (fractional coordinates):
O1 0.7976 0.6625 0.5951
O2 0.2024 0.3375 0.4049
Ge1 0.3532 0.5268 0.7063
Ge2 0.6468 0.4732 0.2937
Au1 0.4602 0.1969 0.9204
Au2 0.5398 0.8031 0.0796

***

In order of decreasing stability: <1>, <2>.

***

<1>
# GeAu2O

A relaxed GeAu2O crystal (PBE-GGA, Alexandria via LeMat-Bulk).

Values from the calculation:
- space group = Fm-3m

abc: 4.4461 4.4461 4.4461
angles: 60.00 60.00 60.00
Atoms (fractional coordinates):
Ge1 0.5000 0.5000 0.5000
O1 0.0000 0.0000 0.0000
Au1 0.7500 0.7500 0.7500
Au2 0.2500 0.2500 0.2500

***

<2>
# GeAu2O

A relaxed GeAu2O crystal (PBE-GGA, Alexandria via LeMat-Bulk).

Values from the calculation:
- space group = I-42d

abc: 6.1666 6.1666 5.7975
angles: 57.87 57.87 90.00
Atoms (fractional coordinates):
O1 0.2500 0.7500 0.5000
O2 0.5000 0.5000 0.0000
Au1 0.3750 0.4028 0.7500
Au2 0.5972 0.1250 0.2500
Au3 0.8750 0.8472 0.7500
Au4 0.1528 0.6250 0.2500
Ge1 0.0000 0.0000 0.0000
Ge2 0.7500 0.2500 0.5000

***

In order of decreasing stability: <2>, <1>.

***

<1>
# GePAuO2

A relaxed GePAuO2 crystal (PBE-GGA, Alexandria via LeMat-Bulk).

Values from the calculation:
- space group = P4/mmm

abc: 3.6026 3.6026 5.7477
angles: 90.00 90.00 90.00
Each line ends with the local moment (μB).
Atoms (fractional coordinates):
Ge1 0.0000 0.0000 0.0000  -0.01
O1 0.5000 0.0000 0.0000  0.09
O2 0.0000 0.5000 0.0000  0.09
P1 0.0000 0.0000 0.5000  0.09
Au1 0.5000 0.5000 0.5000  0.04

***

<2>
# GePAuO2

A relaxed GePAuO2 crystal (PBE-GGA, Alexandria via LeMat-Bulk).

Values from the calculation:
- space group = P4/mmm

abc: 4.0175 4.0175 4.9665
angles: 90.00 90.00 90.00
Atoms (fractional coordinates):
Au1 0.0000 0.0000 0.0000
P1 0.0000 0.0000 0.5000
O1 0.0000 0.5000 0.0000
O2 0.5000 0.0000 0.0000
Ge1 0.5000 0.5000 0.5000

***

In order of decreasing stability: <1>, <2>.

***

<1>
# GePtAuO

A relaxed GePtAuO crystal (PBE-GGA, Alexandria via LeMat-Bulk).

Values from the calculation:
- space group = Cm

abc: 3.3374 2.7962 14.0869
angles: 90.00 90.13 90.00
Atoms (fractional coordinates):
Pt1 0.7111 0.0000 0.2230
Pt2 0.7111 0.5000 0.7230
Ge1 0.2100 0.0000 0.6217
Ge2 0.2100 0.5000 0.1217
Au1 0.2138 0.0000 0.8647
Au2 0.2138 0.5000 0.3647
O1 0.2092 0.0000 0.0337
O2 0.2092 0.5000 0.5337

***

<2>
# GePtAuO

A relaxed GePtAuO crystal (PBE-GGA, Alexandria via LeMat-Bulk).

Values from the calculation:
- space group = P1

abc: 2.9407 2.9433 8.8697
angles: 90.05 80.77 59.93
Atoms (fractional coordinates):
Pt1 0.2998 0.7236 0.7055
O1 0.4171 0.1673 0.0374
Au1 0.1496 0.3030 0.4255
Ge1 0.8268 0.4618 0.9206

***

<3>
# GePtAuO

A relaxed GePtAuO crystal (PBE-GGA, Alexandria via LeMat-Bulk).

Values from the calculation:
- space group = Cm

abc: 6.9070 2.8357 6.9094
angles: 90.00 92.65 90.00
Atoms (fractional coordinates):
Au1 0.4060 0.0000 0.1609
Au2 0.4060 0.5000 0.6609
O1 0.0829 0.0000 0.2531
O2 0.0829 0.5000 0.7531
Pt1 0.6936 0.0000 0.4711
Pt2 0.6936 0.5000 0.9711
Ge1 0.9065 0.0000 0.7598
Ge2 0.9065 0.5000 0.2598

***

In order of decreasing stability: <3>, <2>, <1>.

***

<1>
# GePtAuO

A relaxed GePtAuO crystal (PBE-GGA, Alexandria via LeMat-Bulk).

Values from the calculation:
- space group = P3m1

abc: 2.9445 2.9445 8.5742
angles: 90.00 90.00 120.00
Atoms (fractional coordinates):
Ge1 0.0000 0.0000 0.9224
O1 0.3333 0.6667 0.0413
Pt1 0.6667 0.3333 0.7044
Au1 0.3333 0.6667 0.4209

***

<2>
# GePtAuO

A relaxed GePtAuO crystal (PBE-GGA, Alexandria via LeMat-Bulk).

Values from the calculation:
- space group = Pm

abc: 3.3936 2.8343 7.3599
angles: 90.00 90.16 90.00
Atoms (fractional coordinates):
Pt1 0.2884 0.0000 0.6817
Au1 0.7867 0.5000 0.4273
O1 0.7908 0.5000 0.0675
Ge1 0.7898 0.0000 0.9125

***

<3>
# GePtAuO

A relaxed GePtAuO crystal (PBE-GGA, Alexandria via LeMat-Bulk).

Values from the calculation:
- space group = Cm

abc: 2.8162 3.6043 7.3690
angles: 82.11 78.93 67.05
Atoms (fractional coordinates):
Ge1 0.6677 0.2314 0.5611
O1 0.0810 0.2364 0.7286
Au1 0.8765 0.3141 0.0587
Pt1 0.4786 0.8257 0.3468

***

<4>
# GePtAuO

A relaxed GePtAuO crystal (PBE-GGA, Alexandria via LeMat-Bulk).

Values from the calculation:
- space group = P1

abc: 2.8076 4.3304 5.6475
angles: 76.52 75.27 90.11
Atoms (fractional coordinates):
Au1 0.5129 0.7010 0.4000
Ge1 0.2122 0.6060 0.0001
O1 0.7180 0.3151 0.9869
Pt1 0.8637 0.0288 0.7021

***

In order of decreasing stability: <2>, <3>, <1>, <4>.

***

<1>
# GePtAuO

A relaxed GePtAuO crystal (PBE-GGA, Alexandria via LeMat-Bulk).

Values from the calculation:
- space group = P3m1

abc: 3.7478 3.7478 5.6662
angles: 90.00 90.00 120.00
Atoms (fractional coordinates):
Au1 0.0000 0.0000 0.9737
Pt1 0.3333 0.6667 0.6800
Ge1 0.6667 0.3333 0.4832
O1 0.6667 0.3333 0.1678

***

<2>
# GePtAuO

A relaxed GePtAuO crystal (PBE-GGA, Alexandria via LeMat-Bulk).

Values from the calculation:
- space group = Amm2

abc: 2.8276 3.4551 14.2365
angles: 90.00 90.00 90.00
Atoms (fractional coordinates):
O1 0.5000 0.0000 0.9626
O2 0.5000 0.5000 0.4626
Au1 0.5000 0.0000 0.2896
Au2 0.5000 0.5000 0.7896
Ge1 0.0000 0.5000 0.5429
Ge2 0.0000 0.0000 0.0429
Pt1 0.0000 0.0000 0.6603
Pt2 0.0000 0.5000 0.1603

***

In order of decreasing stability: <2>, <1>.

***

<1>
# GeOsAu

A relaxed GeOsAu crystal (PBE-GGA, Alexandria via LeMat-Bulk).

Values from the calculation:
- space group = Amm2

abc: 2.8952 7.4719 9.4158
angles: 90.00 90.00 90.00
Atoms (fractional coordinates):
Au1 0.5000 0.1787 0.7536
Au2 0.5000 0.3213 0.2536
Au3 0.5000 0.6787 0.2536
Au4 0.5000 0.8213 0.7536
Ge1 0.0000 0.7320 0.0055
Ge2 0.0000 0.7680 0.5055
Ge3 0.0000 0.2320 0.5055
Ge4 0.0000 0.2680 0.0055
Os1 0.0000 0.5000 0.8195
Os2 0.0000 0.0000 0.3195
Os3 0.5000 0.0000 0.0773
Os4 0.5000 0.5000 0.5773

***

<2>
# GeOsAu

A relaxed GeOsAu crystal (PBE-GGA, Alexandria via LeMat-Bulk).

Values from the calculation:
- space group = Pm

abc: 5.9588 2.9000 6.5287
angles: 90.00 111.19 90.00
Atoms (fractional coordinates):
Os1 0.4068 0.0000 0.8773
Os2 0.5932 0.5000 0.6261
Au1 0.8320 0.5000 0.0876
Au2 0.1486 0.0000 0.4264
Ge1 0.0384 0.5000 0.7813
Ge2 0.5256 0.0000 0.2867

***

In order of decreasing stability: <2>, <1>.